# 1
Material: Sr2CaMg
Method: DFT, PBE-GGA
State: relaxed

Lattice parameters (Å, degrees): 4.754 6.058 11.805 90.00 90.00 90.00
Space group Immm (No. 71)
Unique sites:
Sr1 0.000 0.000 0.232 [4 per cell]
Ca1 0.000 0.500 0.000 [2 per cell]
Mg1 0.000 0.500 0.500 [2 per cell]

DFT formation energy: 0.04 eV per atom

=====

# 2
Material: KCoSn3
Method: DFT, PBE-GGA
State: relaxed

Lattice parameters (Å, degrees): 5.822 5.822 5.822 90.00 90.00 90.00
Space group Pm-3m (No. 221)
Unique sites:
K1 0.000 0.000 0.000 [1 per cell]
Co1 0.500 0.500 0.500 [1 per cell]
Sn1 0.000 0.000 0.500 [3 per cell]

DFT formation energy: 1.76 eV per atom
Excess energy over the best structure of this formula in the dataset: 163.8 kJ/mol of atoms

=====

# 3
Material: NbP2OF
Method: DFT, PBE-GGA
State: relaxed

Lattice parameters (Å, degrees): 4.936 4.936 3.902 90.00 90.00 90.00
Space group P4/mmm (No. 123)
Unique sites:
Nb1 0.000 0.000 0.000 [1 per cell]
P1 0.000 0.500 0.000 [2 per cell]
O1 0.000 0.000 0.500 [1 per cell]
F1 0.500 0.500 0.500 [1 per cell]

Excess energy over the best structure of this formula in the dataset: 0.0 kJ/mol of atoms

=====

# 4
Material: CrP2W
Method: DFT, PBE-GGA
State: relaxed

Lattice parameters (Å, degrees): 5.882 5.882 5.882 90.00 90.00 90.00
Space group Fm-3m (No. 225)
Unique sites:
Cr1 0.000 0.000 0.000 [4 per cell]
P1 0.250 0.250 0.250 [8 per cell]
W1 0.000 0.000 0.500 [4 per cell]

DFT formation energy: -0.14 eV per atom
Excess energy over the best structure of this formula in the dataset: 29.9 kJ/mol of atoms

=====

M_tot per entry: 0.00; 0.45; 0.34; 0.00 μB per atom
DOS(E_F) per entry: 9.5; 2.9; 2.6; 12.2 states/eV/cell
Energy per entry: -1.70; -2.29; -5.91; -8.49 eV/atom